(1)
Here is crystalline CdPd8Au6 at its relaxed geometry from the Alexandria database. Energies are from PBE.

Structure (CIF):
```
data_CdPd8Au6
_chemical_formula_sum 'Cd1 Pd8 Au6'
_cell_length_a 7.155
_cell_length_b 7.155
_cell_length_c 7.155
_cell_angle_alpha 59.42
_cell_angle_beta 59.42
_cell_angle_gamma 59.42
_space_group_name_H-M_alt 'P 1'
_space_group_IT_number 1
loop_
_space_group_symop_operation_xyz
'x,y,z'
loop_
_atom_site_label
_atom_site_fract_x
_atom_site_fract_y
_atom_site_fract_z
_atom_site_occupancy
Cd1 0.000 0.000 0.000 1
Au1 0.944 0.473 0.723 1
Pd1 0.817 0.124 0.662 1
Au2 0.056 0.527 0.277 1
Pd2 0.338 0.183 0.876 1
Pd3 0.876 0.338 0.183 1
Pd4 0.183 0.876 0.338 1
Pd5 0.421 0.421 0.421 1
Au3 0.527 0.277 0.056 1
Pd6 0.579 0.579 0.579 1
Pd7 0.124 0.662 0.817 1
Au4 0.723 0.944 0.473 1
Pd8 0.662 0.817 0.124 1
Au5 0.473 0.723 0.944 1
Au6 0.277 0.056 0.527 1
```

Values from the calculation:
formation energy: -0.03 eV/atom
uncorrected energy: -62.61 eV per formula unit
DOS at the Fermi energy: 11.52 states/eV per cell
space group: No. 148

---

(2)
Here is crystalline CdPd3Au4 at its relaxed geometry from the Alexandria database. Energies are from PBE.

Structure (CIF):
```
data_CdPd3Au4
_chemical_formula_sum 'Cd1 Pd3 Au4'
_cell_length_a 2.777
_cell_length_b 4.658
_cell_length_c 26.081
_cell_angle_alpha 147.30
_cell_angle_beta 93.05
_cell_angle_gamma 90.00
_space_group_name_H-M_alt 'P 1'
_space_group_IT_number 1
loop_
_space_group_symop_operation_xyz
'x,y,z'
loop_
_atom_site_label
_atom_site_fract_x
_atom_site_fract_y
_atom_site_fract_z
_atom_site_occupancy
Pd1 0.000 0.500 0.000 1
Au1 0.915 0.422 0.830 1
Au2 0.178 0.574 0.357 1
Pd2 0.234 0.599 0.468 1
Au3 0.085 0.578 0.170 1
Cd1 0.500 0.000 0.000 1
Au4 0.822 0.426 0.643 1
Pd3 0.766 0.401 0.532 1
```

Values from the calculation:
formation energy: 0.21 eV/atom
uncorrected energy: -27.91 eV per formula unit
DOS at the Fermi energy: 6.72 states/eV per cell
space group: No. 12

---

(3)
Here is crystalline Cd4Pd3Au4 at its relaxed geometry from the Alexandria database. Energies are from PBE.

Structure (CIF):
```
data_Cd4Pd3Au4
_chemical_formula_sum 'Cd4 Pd3 Au4'
_cell_length_a 2.998
_cell_length_b 4.758
_cell_length_c 14.397
_cell_angle_alpha 80.43
_cell_angle_beta 96.19
_cell_angle_gamma 90.13
_space_group_name_H-M_alt 'P 1'
_space_group_IT_number 1
loop_
_space_group_symop_operation_xyz
'x,y,z'
loop_
_atom_site_label
_atom_site_fract_x
_atom_site_fract_y
_atom_site_fract_z
_atom_site_occupancy
Cd1 0.055 0.444 0.112 1
Cd2 0.945 0.556 0.888 1
Cd3 0.175 0.827 0.346 1
Cd4 0.825 0.173 0.654 1
Pd1 0.645 0.355 0.290 1
Au1 0.233 0.267 0.467 1
Au2 0.414 0.084 0.830 1
Pd2 0.355 0.645 0.710 1
Pd3 0.000 0.000 0.000 1
Au3 0.767 0.733 0.533 1
Au4 0.586 0.916 0.170 1
```

Values from the calculation:
formation energy: -0.22 eV/atom
uncorrected energy: -34.79 eV per formula unit
DOS at the Fermi energy: 3.20 states/eV per cell
space group: No. 2

---

(4)
Here is crystalline CdPd6Au3 at its relaxed geometry from the Alexandria database. Energies are from PBE.

Structure (CIF):
```
data_CdPd6Au3
_chemical_formula_sum 'Cd2 Pd12 Au6'
_cell_length_a 4.725
_cell_length_b 7.557
_cell_length_c 10.157
_cell_angle_alpha 113.79
_cell_angle_beta 90.00
_cell_angle_gamma 90.00
_space_group_name_H-M_alt 'P 1'
_space_group_IT_number 1
loop_
_space_group_symop_operation_xyz
'x,y,z'
loop_
_atom_site_label
_atom_site_fract_x
_atom_site_fract_y
_atom_site_fract_z
_atom_site_occupancy
Pd1 0.250 0.862 0.269 1
Au1 0.250 0.367 0.773 1
Au2 0.250 0.558 0.368 1
Pd2 0.250 0.162 0.173 1
Pd3 0.750 0.539 0.931 1
Au3 0.750 0.230 0.029 1
Pd4 0.750 0.838 0.827 1
Pd5 0.250 0.266 0.472 1
Au4 0.750 0.442 0.632 1
Pd6 0.750 0.138 0.731 1
Pd7 0.750 0.934 0.127 1
Au5 0.250 0.770 0.971 1
Pd8 0.250 0.066 0.873 1
Au6 0.750 0.633 0.227 1
Pd9 0.250 0.666 0.671 1
Cd1 0.250 0.961 0.576 1
Pd10 0.250 0.461 0.069 1
Cd2 0.750 0.039 0.424 1
Pd11 0.750 0.734 0.528 1
Pd12 0.750 0.334 0.329 1
```

Values from the calculation:
formation energy: -0.13 eV/atom
uncorrected energy: -43.16 eV per formula unit
DOS at the Fermi energy: 19.69 states/eV per cell
space group: No. 11

---

(5)
Here is crystalline Cd4PdAu at its relaxed geometry from the Alexandria database. Energies are from PBE.

Structure (CIF):
```
data_Cd4PdAu
_chemical_formula_sum 'Cd4 Pd1 Au1'
_cell_length_a 4.555
_cell_length_b 4.555
_cell_length_c 6.687
_cell_angle_alpha 89.97
_cell_angle_beta 89.98
_cell_angle_gamma 90.01
_space_group_name_H-M_alt 'P 1'
_space_group_IT_number 1
loop_
_space_group_symop_operation_xyz
'x,y,z'
loop_
_atom_site_label
_atom_site_fract_x
_atom_site_fract_y
_atom_site_fract_z
_atom_site_occupancy
Au1 0.001 0.997 0.498 1
Cd1 0.501 0.997 0.238 1
Cd2 0.001 0.497 0.759 1
Pd1 0.501 0.497 0.998 1
Cd3 0.001 0.497 0.238 1
Cd4 0.501 0.997 0.759 1
```

Values from the calculation:
formation energy: -0.18 eV/atom
uncorrected energy: -13.23 eV per formula unit
DOS at the Fermi energy: 2.97 states/eV per cell
space group: No. 123

---

(6)
Here is crystalline CdPd3Au4 at its relaxed geometry from the Alexandria database. Energies are from PBE.

Structure (CIF):
```
data_CdPd3Au4
_chemical_formula_sum 'Cd1 Pd3 Au4'
_cell_length_a 2.916
_cell_length_b 4.368
_cell_length_c 11.835
_cell_angle_alpha 79.13
_cell_angle_beta 82.41
_cell_angle_gamma 90.00
_space_group_name_H-M_alt 'P 1'
_space_group_IT_number 1
loop_
_space_group_symop_operation_xyz
'x,y,z'
loop_
_atom_site_label
_atom_site_fract_x
_atom_site_fract_y
_atom_site_fract_z
_atom_site_occupancy
Cd1 0.000 0.000 0.000 1
Au1 0.222 0.720 0.558 1
Pd1 0.665 0.155 0.685 1
Au2 0.889 0.403 0.204 1
Pd2 0.335 0.845 0.315 1
Au3 0.111 0.597 0.796 1
Pd3 0.500 0.500 0.000 1
Au4 0.778 0.280 0.442 1
```

Values from the calculation:
formation energy: -0.02 eV/atom
uncorrected energy: -29.77 eV per formula unit
DOS at the Fermi energy: 3.49 states/eV per cell
space group: No. 2